Arrangement P

NpTiC, optimized geometry, DFT PBE; total moment = 2.7 μB/f.u.; space-group type = Fmmm, No. 69
1.0
0.000 4.933 5.063
2.126 0.000 5.063
2.126 4.933 0.000
Np Ti C
2 2 2
direct
0.180 0.820 0.180
0.820 0.180 0.820
0.345 0.345 0.655
0.655 0.655 0.345
0.144 0.144 0.856
0.856 0.856 0.144



Arrangement Q

NpTiC, optimized geometry, DFT PBE; total moment = 3.0 μB/f.u.; space-group type = P3m1, No. 156
1.0
3.099 0.000 0.000
-1.550 2.684 0.000
0.000 0.000 5.726
Np Ti C
1 1 1
direct
0.000 0.000 0.000
0.667 0.333 0.534
0.333 0.667 0.723



Most stable: arrangement Q (next structure +0.233 eV/atom)



Arrangement P

TmNpC, optimized geometry, DFT PBE; total moment = 4.2 μB/f.u.; space-group type = P3m1, No. 156
1.0
3.381 0.000 0.000
-1.690 2.928 0.000
0.000 0.000 6.185
Tm Np C
1 1 1
direct
0.000 0.000 0.000
0.667 0.333 0.459
0.333 0.667 0.234



Arrangement Q

TmNpC, optimized geometry, DFT PBE; total moment = 3.6 μB/f.u.; space-group type = I4mm, No. 107
1.0
-1.547 1.547 5.729
1.547 -1.547 5.729
1.547 1.547 -5.729
Tm Np C
1 1 1
direct
0.000 0.000 0.000
0.761 0.761 0.000
0.370 0.370 0.000



Most stable: arrangement P (next structure +0.339 eV/atom)



Arrangement P

NpU2C, optimized geometry, DFT PBE; total moment = 2.0 μB/f.u.; space-group type = R-3m, No. 166
1.0
1.553 0.897 8.237
-1.553 0.897 8.237
0.000 -1.793 8.237
Np U C
1 2 1
direct
0.000 0.000 0.000
0.104 0.104 0.104
0.896 0.896 0.896
0.500 0.500 0.500



Arrangement Q

NpU2C, optimized geometry, DFT PBE; total moment = 0.0 μB/f.u.; space-group type = P4/mmm, No. 123
1.0
3.359 0.000 0.000
0.000 3.359 0.000
0.000 0.000 5.743
Np U C
1 2 1
direct
0.000 0.000 0.000
0.500 0.500 0.271
0.500 0.500 0.729
0.000 0.000 0.500



Most stable: arrangement P (next structure +0.216 eV/atom)